A relaxed K2TeAs crystal, computed with PBE-GGA.

Calculated values
Formation energy without anion corrections in eV per atom: -0.40
Excess energy over the best structure of this formula in the dataset in meV per atom: 141
Electronic total energy in Ha/atom: -0.107

abc: 4.8117 4.8117 5.1448
angles: 90.00 90.00 90.00
Positions (direct):
K  0.0000  0.5000  0.0000
K  0.5000  0.0000  0.0000
Te  0.0000  0.0000  0.5000
As  0.5000  0.5000  0.5000